# 1
LiCe2Au5: relaxed, GGA-PBE.

Summary:
**Symmetry**: I4/mmm
**DOS(E_F)**: 12.85 states/eV per cell
**M_tot**: 1.7 μB per cell
**Electronic total energy**: -4.3091 eV per atom
**Energy relative to the elements**: -0.54 eV per atom

a = 7.6652 Å, b = 7.6652 Å, c = 7.6652 Å
α = 141.84°, β = 141.84°, γ = 55.07°
Positions (direct):
Li 0.0000 0.0000 0.0000
Ce 0.2610 0.2610 0.0000
Ce 0.7390 0.7390 0.0000
Au 0.1096 0.6096 0.5000
Au 0.3904 0.8904 0.5000
Au 0.5000 0.5000 0.0000
Au 0.6096 0.1096 0.5000
Au 0.8904 0.3904 0.5000

# 2
Ti2BAs: relaxed, GGA-PBE.

Summary:
**Symmetry**: Fm-3m
**DOS(E_F)**: 4.94 states/eV per cell
**M_tot**: 0.0 μB per cell
**Electronic total energy**: -6.8062 eV per atom
**Energy relative to the lowest polymorph listed for this composition**: 644 meV per atom
**Energy relative to the elements**: -0.03 eV per atom

a = 4.2773 Å, b = 4.2773 Å, c = 4.2773 Å
α = 60.00°, β = 60.00°, γ = 60.00°
Positions (direct):
Ti 0.2500 0.2500 0.2500
Ti 0.7500 0.7500 0.7500
B 0.0000 0.0000 0.0000
As 0.5000 0.5000 0.5000